Below is an optimized crystal structure of Ta2Sb2Pt, with properties calculated at the PBE level.

Cell: 7.370 7.370 7.370 Å, 148.63 148.63 44.96°
Fractional positions:
Ta  0.093  0.093  0.000
Ta  0.907  0.907  0.000
Sb  0.250  0.750  0.500
Sb  0.750  0.250  0.500
Pt  0.500  0.500  0.000

Values from the calculation:
- Uncorrected energy: -7.12 eV/atom
- Fermi-level density of states: 0.617 states/eV per atom
- Distance to the lowest polymorph of the same formula: 408 meV/atom
- SG: No. 139



Below is an optimized crystal structure of TaSb2Pt, with properties calculated at the PBE level.

Cell: 5.533 5.533 5.295 Å, 105.99 105.99 31.79°
Fractional positions:
Ta  0.000  0.000  0.000
Sb  0.243  0.243  0.852
Sb  0.445  0.445  0.479
Pt  0.690  0.690  0.354

Values from the calculation:
- Uncorrected energy: -6.54 eV/atom
- Fermi-level density of states: 0.827 states/eV per atom
- Distance to the lowest polymorph of the same formula: 187 meV/atom
- SG: No. 8



Below is an optimized crystal structure of TaSb2Pt, with properties calculated at the PBE level.

Cell: 3.563 3.563 6.212 Å, 90.00 90.00 90.00°
Fractional positions:
Ta  0.000  0.000  0.000
Sb  0.500  0.500  0.252
Sb  0.500  0.500  0.748
Pt  0.000  0.000  0.500

Values from the calculation:
- Uncorrected energy: -6.49 eV/atom
- Fermi-level density of states: 0.676 states/eV per atom
- Distance to the lowest polymorph of the same formula: 234 meV/atom
- SG: No. 123



Below is an optimized crystal structure of TaSbPt2, with properties calculated at the PBE level.

Cell: 8.040 8.040 8.040 Å, 24.96 24.96 24.96°
Fractional positions:
Ta  0.000  0.000  0.000
Sb  0.500  0.500  0.500
Pt  0.261  0.261  0.261
Pt  0.739  0.739  0.739

Values from the calculation:
- Uncorrected energy: -7.29 eV/atom
- Fermi-level density of states: 0.555 states/eV per atom
- SG: No. 166



Below is an optimized crystal structure of TaSb2Pt, with properties calculated at the PBE level.

Cell: 4.838 4.838 4.838 Å, 60.00 60.00 60.00°
Fractional positions:
Ta  0.000  0.000  0.000
Sb  0.250  0.250  0.250
Sb  0.750  0.750  0.750
Pt  0.500  0.500  0.500

Values from the calculation:
- Uncorrected energy: -6.35 eV/atom
- Fermi-level density of states: 0.733 states/eV per atom
- Distance to the lowest polymorph of the same formula: 373 meV/atom
- SG: No. 225



Below is an optimized crystal structure of Ta2SbPt, with properties calculated at the PBE level.

Cell: 9.130 9.130 9.130 Å, 20.14 20.14 20.14°
Fractional positions:
Ta  0.000  0.000  0.000
Ta  0.250  0.250  0.250
Sb  0.498  0.498  0.498
Pt  0.738  0.738  0.738

Values from the calculation:
- Uncorrected energy: -8.47 eV/atom
- Fermi-level density of states: 0.538 states/eV per atom
- SG: No. 160



Below is an optimized crystal structure of Ta2SbPt, with properties calculated at the PBE level.

Cell: 4.944 4.944 2.989 Å, 90.00 90.00 90.00°
Fractional positions:
Ta  0.000  0.500  0.000
Ta  0.500  0.000  0.000
Sb  0.000  0.000  0.500
Pt  0.500  0.500  0.500

Values from the calculation:
- Uncorrected energy: -8.49 eV/atom
- Fermi-level density of states: 1.036 states/eV per atom
- SG: No. 123



Below is an optimized crystal structure of TaSb2Pt, with properties calculated at the PBE level.

Cell: 8.960 8.960 8.960 Å, 21.00 21.00 21.00°
Fractional positions:
Ta  0.000  0.000  0.000
Sb  0.247  0.247  0.247
Sb  0.753  0.753  0.753
Pt  0.500  0.500  0.500

Values from the calculation:
- Uncorrected energy: -6.41 eV/atom
- Fermi-level density of states: 0.889 states/eV per atom
- Distance to the lowest polymorph of the same formula: 315 meV/atom
- SG: No. 166



Below is an optimized crystal structure of Ta2SbPt, with properties calculated at the PBE level.

Cell: 4.337 5.933 5.933 Å, 28.72 90.00 90.00°
Fractional positions:
Ta  0.000  0.000  0.000
Ta  0.500  0.357  0.357
Sb  0.000  0.745  0.745
Pt  0.500  0.602  0.602

Values from the calculation:
- Uncorrected energy: -8.60 eV/atom
- Fermi-level density of states: 0.889 states/eV per atom
- SG: No. 38



Below is an optimized crystal structure of TaSbPt2, with properties calculated at the PBE level.

Cell: 4.959 4.959 3.129 Å, 90.11 90.11 111.25°
Fractional positions:
Ta  0.000  0.000  0.000
Sb  0.500  0.500  0.000
Pt  0.000  0.500  0.500
Pt  0.500  0.000  0.500

Values from the calculation:
- Uncorrected energy: -7.23 eV/atom
- Fermi-level density of states: 0.688 states/eV per atom
- SG: No. 12



Below is an optimized crystal structure of TaSbPt2, with properties calculated at the PBE level.

Cell: 2.979 2.979 8.329 Å, 90.00 90.00 90.00°
Fractional positions:
Ta  0.000  0.000  0.000
Sb  0.000  0.000  0.500
Pt  0.500  0.500  0.220
Pt  0.500  0.500  0.780

Values from the calculation:
- Uncorrected energy: -7.38 eV/atom
- Fermi-level density of states: 0.671 states/eV per atom
- SG: No. 123



Below is an optimized crystal structure of TaSbPt2, with properties calculated at the PBE level.

Cell: 4.891 4.891 4.813 Å, 97.52 97.52 40.89°
Fractional positions:
Ta  0.000  0.000  0.000
Sb  0.770  0.770  0.325
Pt  0.275  0.275  0.829
Pt  0.536  0.536  0.582

Values from the calculation:
- Uncorrected energy: -7.29 eV/atom
- Fermi-level density of states: 0.438 states/eV per atom
- SG: No. 8